Density functional theory data (PBE) for a relaxed ScCoPd crystal.

## Properties
Formation energy from the elements: -1.12 eV per formula unit
Space-group type: No. 11
Magnetization: 2.2 μB per cell

a = 4.8942 Å, b = 4.4097 Å, c = 4.9702 Å
α = 90.00°, β = 117.42°, γ = 90.00°
With the nearest neighbours (Å) after each atom.
Sites, in units of the cell vectors:
Sc 0.0031 0.2500 0.2766  2 Co 2.59-2.73, 4 Pd 2.72-2.84
Sc 0.9969 0.7500 0.7234  2 Co 2.59-2.73, 4 Pd 2.72-2.84
Co 0.4081 0.2500 0.0390  2 Co 2.48, 2 Sc 2.59-2.73, 3 Pd 2.61-2.73
Co 0.5919 0.7500 0.9610  2 Co 2.48, 2 Sc 2.59-2.73, 3 Pd 2.61-2.73
Pd 0.3522 0.7500 0.3340  4 Co 2.61-2.78, 4 Sc 2.72-2.84, 2 Pd 2.73
Pd 0.6478 0.2500 0.6660  4 Co 2.61-2.78, 4 Sc 2.72-2.84, 2 Pd 2.73

***

Density functional theory data (PBE) for a relaxed Ca2IrOs crystal.

## Properties
Formation energy from the elements: -0.02 eV per formula unit
Space-group type: No. 6
Magnetization: 0.0 μB per cell

a = 4.6023 Å, b = 4.3390 Å, c = 5.5252 Å
α = 90.00°, β = 114.51°, γ = 90.00°
With the nearest neighbours (Å) after each atom.
Sites, in units of the cell vectors:
Ca 0.0000 0.0000 0.0000  3 Ir 3.00-3.11, 4 Os 3.30
Ca 0.2830 0.5000 0.5670  3 Os 2.99-3.12, 4 Ir 3.30
Ir 0.6901 0.0000 0.3816  2 Os 2.38
Os 0.5944 0.5000 0.1884  2 Ir 2.38

***

Density functional theory data (PBE) for a relaxed Sr2MgMn crystal.

## Properties
Formation energy from the elements: 1.64 eV per formula unit
Space-group type: No. 119
Magnetization: 3.9 μB per cell

a = 6.2946 Å, b = 6.2946 Å, c = 6.2946 Å
α = 132.52°, β = 132.52°, γ = 69.41°
With the nearest neighbours (Å) after each atom.
Sites, in units of the cell vectors:
Sr 0.0000 0.0000 0.0000  4 Mn 3.58, 4 Sr 3.62, 4 Mg 3.62
Sr 0.7500 0.2500 0.5000  4 Mg 3.58, 4 Mn 3.62, 4 Sr 3.62
Mg 0.2500 0.7500 0.5000  8 Sr 3.58-3.62, 4 Mn 3.62
Mn 0.5000 0.5000 0.0000  8 Sr 3.58-3.62, 4 Mg 3.62

***

Density functional theory data (PBE) for a relaxed CsBaLi2F5 crystal.

## Properties
Space-group type: No. 123
Uncorrected formation energy: -3.1461 eV per atom
Magnetization: 0.0 μB per cell

a = 4.2281 Å, b = 4.2281 Å, c = 8.2334 Å
α = 90.00°, β = 90.00°, γ = 90.00°
With the nearest neighbours (Å) after each atom.
Sites, in units of the cell vectors:
Cs 0.0000 0.0000 0.0000  12 F 2.99-3.25
Ba 0.0000 0.0000 0.5000  8 F 2.68
Li 0.5000 0.5000 0.2303  1 F 1.90
Li 0.5000 0.5000 0.7697  1 F 1.90
F 0.0000 0.5000 0.3001  2 Li 2.19
F 0.0000 0.5000 0.6999  2 Li 2.19
F 0.5000 0.0000 0.3001  2 Li 2.19
F 0.5000 0.0000 0.6999  2 Li 2.19
F 0.5000 0.5000 0.0000  2 Li 1.90

***

Density functional theory data (PBE) for a relaxed ErMn7Fe5 crystal.

## Properties
Formation energy from the elements: -0.08 eV per formula unit
Space-group type: No. 44
Magnetization: 4.2 μB per cell

a = 6.3092 Å, b = 6.3092 Å, c = 6.3092 Å
α = 136.49°, β = 98.17°, γ = 97.62°
With the nearest neighbours (Å) after each atom.
Sites, in units of the cell vectors:
Er 0.0000 0.0000 0.0000  10 Mn 2.98-3.03, 10 Fe 3.00-3.16
Mn 0.2221 0.4984 0.7237  5 Fe 2.39-2.65, 5 Mn 2.55-2.66
Mn 0.3576 0.9974 0.3603  2 Mn 2.31-2.53, 5 Fe 2.53-2.56
Mn 0.3615 0.3615 0.0000  3 Mn 2.28-2.55, 4 Fe 2.55
Mn 0.6362 0.6362 0.0000  3 Mn 2.28-2.55, 4 Fe 2.55
Mn 0.6371 0.9974 0.6397  2 Mn 2.31-2.53, 5 Fe 2.53-2.56
Mn 0.7678 0.2678 0.5000  4 Fe 2.38, 6 Mn 2.53-2.66
Mn 0.7746 0.4984 0.2763  5 Fe 2.39-2.65, 5 Mn 2.55-2.66
Fe 0.2269 0.7269 0.5000  4 Fe 2.38, 6 Mn 2.53-2.65
Fe 0.4985 0.4988 0.4999  3 Fe 2.34-2.38, 7 Mn 2.38-2.56
Fe 0.4985 0.9986 0.9997  3 Fe 2.34-2.38, 7 Mn 2.38-2.56
Fe 0.9989 0.4988 0.0003  3 Fe 2.34-2.38, 7 Mn 2.38-2.56
Fe 0.9989 0.9986 0.5001  3 Fe 2.34-2.38, 7 Mn 2.38-2.56

***

Density functional theory data (PBE) for a relaxed PrTmFe crystal.

## Properties
Formation energy from the elements: 0.16 eV per formula unit
Space-group type: No. 64
Magnetization: 3.3 μB per cell

a = 7.0216 Å, b = 7.0216 Å, c = 7.3236 Å
α = 90.00°, β = 90.00°, γ = 120.81°
With the nearest neighbours (Å) after each atom.
Sites, in units of the cell vectors:
Pr 0.1975 0.8025 0.8878  2 Fe 2.84-2.87
Pr 0.3025 0.6975 0.3878  2 Fe 2.84-2.87
Pr 0.6975 0.3025 0.6122  2 Fe 2.84-2.87
Pr 0.8025 0.1975 0.1122  2 Fe 2.84-2.87
Tm 0.2098 0.2902 0.7500  4 Fe 2.80-2.81
Tm 0.2902 0.2098 0.2500  4 Fe 2.80-2.81
Tm 0.7098 0.7902 0.7500  4 Fe 2.80-2.81
Tm 0.7902 0.7098 0.2500  4 Fe 2.80-2.81
Fe 0.0889 0.9111 0.5406  1 Fe 2.25
Fe 0.4111 0.5889 0.0406  1 Fe 2.25
Fe 0.5889 0.4111 0.9594  1 Fe 2.25
Fe 0.9111 0.0889 0.4594  1 Fe 2.25

***

Asked for electronic total energy across the records above, the calculation gives -0.2419 -0.2215 -0.1147 -0.1808 -0.3142 -0.2150 Ha/atom in order.